PBE with a Hubbard U Ca3CrF, optimized geometry; raw total energy = -3.94 eV per atom; total magnetization = 5.10 μB/f.u.
1.0
-2.051 -2.943 -3.609
4.654 -1.163 -1.697
0.156 -3.985 3.160
Cr Ca F
1 3 1
Cartesian
1.379 -4.045 -1.073
2.327 -0.582 -0.848
-1.026 -1.471 -1.804
0.078 -1.992 1.580
0.000 0.000 0.000